Below is a PBEsol-optimized structure of KAl2Sb, with properties calculated at the SCAN level.

The uncorrected formation energy is -0.010 eV per atom. The total magnetization comes out at 0.0 μB/f.u. The total energy is -15.284 eV per atom. For the volume, the calculation gives 25.5 Å³ per atom. For the density of states at the Fermi level, the calculation gives 1.56 states/eV per cell.

The structure belongs to space group Pmm2 (No. 25); the cell edges are 3.536, 3.751 and 7.690 Å and the angles 90.00°, 90.00° and 90.00°. The asymmetric unit holds K at (0.000, 0.000, 0.000), Al at (0.000, 0.000, 0.520), Al at (0.500, 0.500, 0.685) and Sb at (0.500, 0.500, 0.327).